This record from Alexandria describes NaTcNi after structural relaxation. The functional is PBE.

a = 4.5628 Å, b = 4.5628 Å, c = 2.4957 Å
α = 90.00°, β = 90.00°, γ = 120.00°
Atoms (fractional coordinates):
Tc 0.3333 0.6667 0.0000
Ni 0.6667 0.3333 0.0000
Na 0.0000 0.0000 0.5000

Output
Distance to the lowest polymorph of the same formula   557 meV per atom
VASP energy   -5.0243 eV per atom
N(E_F)   3.76 states/eV/f.u.
Space group   P-6m2, No. 187
Spin magnetization   0.00 Bohr magnetons per cell
Density   6.631 g/cm3
Energy of formation   0.80 eV/atom

=====

This record from Alexandria describes BePtBr4 after structural relaxation. The functional is PBE.

a = 6.0368 Å, b = 6.0368 Å, c = 6.0368 Å
α = 60.00°, β = 60.00°, γ = 60.00°
Atoms (fractional coordinates):
Br 0.3751 0.3751 0.8747
Br 0.3751 0.8747 0.3751
Br 0.3751 0.3751 0.3751
Br 0.8747 0.3751 0.3751
Pt 0.7500 0.7500 0.7500
Be 0.0000 0.0000 0.0000

Output
VASP energy   -1.2985 eV per atom
N(E_F)   6.28 states/eV/f.u.
Space group   F-43m, No. 216
Spin magnetization   0.02 Bohr magnetons per cell
Density   5.590 g/cm3
Energy relative to the elements, uncorrected   1.445 eV/atom

=====

This record from Alexandria describes SnW2C after structural relaxation. The functional is PBE.

a = 4.3945 Å, b = 4.3945 Å, c = 4.3945 Å
α = 60.00°, β = 60.00°, γ = 60.00°
Atoms (fractional coordinates):
C 0.0000 0.0000 0.0000
Sn 0.5000 0.5000 0.5000
W 0.2500 0.2500 0.2500
W 0.7500 0.7500 0.7500

Output
Distance to the lowest polymorph of the same formula   578 meV per atom
VASP energy   -8.1665 eV per atom
N(E_F)   2.35 states/eV/f.u.
Space group   Fm-3m, No. 225
Spin magnetization   0.00 Bohr magnetons per cell
Density   13.791 g/cm3
Energy of formation   1.62 eV/atom

=====

This record from Alexandria describes Tb3Pm3Sm2 after structural relaxation. The functional is PBE.

a = 6.3369 Å, b = 8.5994 Å, c = 14.6495 Å
α = 90.00°, β = 90.00°, γ = 137.54°
Atoms (fractional coordinates):
Tb 0.4156 0.7499 0.4997
Tb 0.4156 0.7499 0.0003
Tb 0.5843 0.2502 0.7500
Tb 0.5844 0.2501 0.9997
Tb 0.5844 0.2501 0.5003
Tb 0.4157 0.7498 0.2500
Pm 0.9159 0.7500 0.3755
Pm 0.4163 0.7500 0.7500
Pm 0.9159 0.7500 0.1245
Pm 0.0841 0.2500 0.6245
Pm 0.5837 0.2500 0.2500
Pm 0.0841 0.2500 0.8755
Sm 0.0822 0.2498 0.3754
Sm 0.9178 0.7502 0.8754
Sm 0.9178 0.7502 0.6246
Sm 0.0822 0.2498 0.1246

Output
Distance to the lowest polymorph of the same formula   10 meV per atom
VASP energy   -4.6715 eV per atom
N(E_F)   14.42 states/eV/f.u.
Space group   P2_1/m, No. 11
Spin magnetization   0.00 Bohr magnetons per cell
Density   7.472 g/cm3
Energy of formation   0.03 eV/atom

=====

This record from Alexandria describes Pr2PRh6 after structural relaxation. The functional is PBE.

a = 6.0526 Å, b = 6.0526 Å, c = 6.0526 Å
α = 60.00°, β = 60.00°, γ = 60.00°
Atoms (fractional coordinates):
Pr 0.7500 0.7500 0.7500
Pr 0.2500 0.2500 0.2500
Rh 0.7340 0.2660 0.2660
Rh 0.7340 0.7340 0.2660
Rh 0.2660 0.2660 0.7340
Rh 0.7340 0.2660 0.7340
Rh 0.2660 0.7340 0.2660
Rh 0.2660 0.7340 0.7340
P 0.0000 0.0000 0.0000

Output
VASP energy   -7.2857 eV per atom
N(E_F)   10.14 states/eV/f.u.
Space group   Fm-3m, No. 225
Spin magnetization   0.00 Bohr magnetons per cell
Density   9.852 g/cm3
Energy of formation   -0.72 eV/atom

=====

This record from Alexandria describes NaAg3Cl4 after structural relaxation. The functional is PBE.

a = 6.1241 Å, b = 6.1241 Å, c = 7.4259 Å
α = 114.35°, β = 114.35°, γ = 90.00°
Atoms (fractional coordinates):
Cl 0.6164 0.1281 0.7445
Cl 0.3836 0.3836 0.2555
Cl 0.1281 0.6164 0.7445
Cl 0.8719 0.8719 0.2555
Ag 0.5000 0.5000 0.0000
Ag 0.2500 0.7500 0.5000
Ag 0.7500 0.2500 0.5000
Na 0.0000 0.0000 0.0000

Output
VASP energy   -2.9278 eV per atom
N(E_F)   0.00 states/eV/f.u.
Space group   I-42m, No. 121
Spin magnetization   0.00 Bohr magnetons per cell
Density   3.585 g/cm3
Energy relative to the elements, uncorrected   -0.770 eV/atom

=====

This record from Alexandria describes Ge2BH after structural relaxation. The functional is PBE.

a = 4.0167 Å, b = 4.0167 Å, c = 4.0167 Å
α = 60.00°, β = 60.00°, γ = 60.00°
Atoms (fractional coordinates):
B 0.5000 0.5000 0.5000
Ge 0.7500 0.7500 0.7500
Ge 0.2500 0.2500 0.2500
H 0.0000 0.0000 0.0000

Output
Distance to the lowest polymorph of the same formula   281 meV per atom
VASP energy   -3.9112 eV per atom
N(E_F)   0.91 states/eV/f.u.
Space group   Fm-3m, No. 225
Spin magnetization   0.00 Bohr magnetons per cell
Density   5.693 g/cm3

=====

This record from Alexandria describes Ho5Sc3H12 after structural relaxation. The functional is PBE.

a = 10.9775 Å, b = 10.9775 Å, c = 10.9775 Å
α = 109.47°, β = 109.47°, γ = 109.47°
Atoms (fractional coordinates):
Ho 0.5000 0.0000 0.0000
Ho 0.5000 0.5000 0.5000
Ho 0.8750 0.2500 0.6250
Ho 0.6250 0.8750 0.2500
Ho 0.8750 0.6250 0.7500
Ho 0.1250 0.7500 0.3750
Ho 0.5000 0.5000 0.0000
Ho 0.7500 0.6250 0.3750
Ho 0.0000 0.0000 0.5000
Ho 0.0000 0.0000 0.0000
Ho 0.6250 0.7500 0.8750
Ho 0.3750 0.1250 0.7500
Ho 0.1250 0.3750 0.2500
Ho 0.7500 0.1250 0.8750
Ho 0.0000 0.5000 0.5000
Ho 0.3750 0.2500 0.1250
Ho 0.0000 0.5000 0.0000
Ho 0.2500 0.8750 0.1250
Ho 0.2500 0.3750 0.6250
Ho 0.5000 0.0000 0.5000
Sc 0.6250 0.2500 0.3750
Sc 0.8750 0.1250 0.2500
Sc 0.6250 0.3750 0.7500
Sc 0.2500 0.6250 0.8750
Sc 0.3750 0.7500 0.6250
Sc 0.2500 0.1250 0.3750
Sc 0.1250 0.8750 0.7500
Sc 0.7500 0.8750 0.6250
Sc 0.8750 0.7500 0.1250
Sc 0.3750 0.6250 0.2500
Sc 0.1250 0.2500 0.8750
Sc 0.7500 0.3750 0.1250
H 0.3348 0.4023 0.0576
H 0.4424 0.1652 0.5977
H 0.8447 0.9424 0.2772
H 0.4023 0.0675 0.3447
H 0.7772 0.4325 0.3348
H 0.9325 0.5977 0.1553
H 0.2772 0.8348 0.9325
H 0.5675 0.3447 0.9023
H 0.3348 0.9325 0.7772
H 0.0675 0.4023 0.8447
H 0.2772 0.4424 0.8447
H 0.5977 0.6652 0.4424
H 0.1553 0.0576 0.7228
H 0.9023 0.8447 0.5675
H 0.4325 0.6553 0.0977
H 0.9424 0.8447 0.7772
H 0.9424 0.0977 0.6652
H 0.4424 0.2772 0.3447
H 0.6652 0.5977 0.9424
H 0.5675 0.2228 0.1652
H 0.2228 0.5675 0.6652
H 0.7228 0.5576 0.1553
H 0.6553 0.2228 0.5576
H 0.4325 0.7772 0.8348
H 0.5576 0.8348 0.4023
H 0.5977 0.9325 0.6553
H 0.0977 0.9424 0.1652
H 0.6553 0.4325 0.5977
H 0.9325 0.3348 0.2772
H 0.2228 0.6553 0.0576
H 0.7228 0.1652 0.0675
H 0.5576 0.7228 0.6553
H 0.0977 0.1553 0.4325
H 0.3447 0.7772 0.4424
H 0.6652 0.0675 0.2228
H 0.8348 0.2772 0.4325
H 0.0675 0.6652 0.7228
H 0.7772 0.3447 0.9424
H 0.1553 0.0977 0.9325
H 0.1652 0.4424 0.0977
H 0.0576 0.1553 0.2228
H 0.8447 0.9023 0.0675
H 0.9023 0.0576 0.8348
H 0.0576 0.9023 0.3348
H 0.8348 0.5576 0.9023
H 0.3447 0.5675 0.4023
H 0.4023 0.3348 0.5576
H 0.1652 0.7228 0.5675

Output
VASP energy   -4.5381 eV per atom
N(E_F)   9.30 states/eV/f.u.
Space group   Ia-3d, No. 230
Spin magnetization   0.00 Bohr magnetons per cell
Density   6.337 g/cm3

=====

This record from Alexandria describes FePdCl5 after structural relaxation. The functional is PBE.

a = 7.9984 Å, b = 8.0143 Å, c = 9.8412 Å
α = 127.98°, β = 121.38°, γ = 66.71°
Site moments in Bohr magnetons follow the coordinates.
Atoms (fractional coordinates):
Cl 0.7186 0.6538 0.3440  0.12
Cl 0.2796 0.3486 0.6546  0.12
Cl 0.3088 0.7694 0.4753  0.26
Cl 0.0895 0.8416 0.7492  0.01
Cl 0.2899 0.3357 0.0239  0.26
Cl 0.7082 0.6668 0.9748  0.26
Cl 0.6894 0.2334 0.5235  0.26
Cl 0.9087 0.1609 0.2494  0.01
Cl 0.6912 0.1275 0.8450  0.12
Cl 0.3070 0.8750 0.1538  0.12
Pd 0.9991 0.0012 0.9993  0.08
Pd 0.9991 0.5012 0.4993  0.08
Fe 0.3901 0.6429 0.2493  3.68
Fe 0.6081 0.3596 0.7495  3.68

Output
VASP energy   -3.8563 eV per atom
Space group   P-1, No. 2
Spin magnetization   9.94 Bohr magnetons per cell
Density   2.673 g/cm3
Energy relative to the elements, uncorrected   -0.586 eV/atom

=====

This record from Alexandria describes TlCrPb2 after structural relaxation. The functional is PBE.

a = 5.3637 Å, b = 5.3637 Å, c = 5.3637 Å
α = 60.00°, β = 60.00°, γ = 60.00°
Site moments in Bohr magnetons follow the coordinates.
Atoms (fractional coordinates):
Cr 0.0000 0.0000 0.0000  4.01
Pb 0.7500 0.7500 0.7500  0.03
Pb 0.2500 0.2500 0.2500  0.03
Tl 0.5000 0.5000 0.5000  0.00

Output
Distance to the lowest polymorph of the same formula   137 meV per atom
VASP energy   -4.4238 eV per atom
N(E_F)   1.94 states/eV/f.u.
Space group   Fm-3m, No. 225
Spin magnetization   4.78 Bohr magnetons per cell
Density   10.208 g/cm3
Energy of formation   0.43 eV/atom

=====

This record from Alexandria describes Cs4Rb3SnBr8 after structural relaxation. The functional is PBE.

a = 9.8975 Å, b = 9.9903 Å, c = 10.4034 Å
α = 119.88°, β = 118.40°, γ = 90.00°
Site moments in Bohr magnetons follow the coordinates.
Atoms (fractional coordinates):
Br 0.2739 0.7628 0.5478  0.02
Br 0.7761 0.2853 0.0107  0.00
Br 0.7654 0.7147 0.9893  0.00
Br 0.2346 0.2853 0.0107  0.00
Br 0.7261 0.2372 0.4522  0.02
Br 0.7459 0.7362 0.4917  0.00
Br 0.2541 0.2638 0.5083  0.00
Br 0.2239 0.7147 0.9893  0.00
Rb 0.5000 0.5000 0.5000  0.00
Rb 0.5000 0.5000 0.0000  0.00
Rb 0.0000 0.5000 0.5000  0.00
Cs 0.5000 0.0000 0.0000  0.00
Cs 0.0000 0.0000 0.0000  0.00
Cs 0.0000 0.0000 0.5000  0.00
Cs 0.5000 0.0000 0.5000  0.00
Sn 0.0000 0.5000 0.0000  0.37

Output
VASP energy   -3.0096 eV per atom
Space group   C2/m, No. 12
Spin magnetization   1.00 Bohr magnetons per cell
Density   3.443 g/cm3
Energy relative to the elements, uncorrected   -1.528 eV/atom

=====

This record from Alexandria describes LiGeN after structural relaxation. The functional is PBE.

a = 5.4224 Å, b = 5.4224 Å, c = 6.3832 Å
α = 116.74°, β = 116.74°, γ = 86.61°
Atoms (fractional coordinates):
N 0.2798 0.2798 0.0000
N 0.7202 0.7202 0.0000
N 0.5298 0.0298 0.5000
N 0.9702 0.4702 0.5000
Li 0.6249 0.6249 0.2498
Li 0.3751 0.3751 0.7502
Li 0.8749 0.3749 0.7498
Li 0.6251 0.1251 0.2502
Ge 0.1250 0.8750 0.7500
Ge 0.1250 0.3750 0.2500
Ge 0.6250 0.8750 0.7500
Ge 0.1250 0.8750 0.2500

Output
Distance to the lowest polymorph of the same formula   432 meV per atom
VASP energy   -4.8234 eV per atom
N(E_F)   0.90 states/eV/f.u.
Space group   Fddd, No. 70
Spin magnetization   0.00 Bohr magnetons per cell
Density   4.221 g/cm3
Energy relative to the elements, uncorrected   0.129 eV/atom